(i)
Below is a relaxed LaPdRu3 crystal, with properties calculated at the PBE level.

Cell lengths 4.806, 4.806, 4.806 Å; angles 90.00, 90.00, 90.00 degrees
Element x y z (fractional)
Ru  0.000  0.000  0.500
Ru  0.000  0.500  0.000
Ru  0.500  0.000  0.000
Pd  0.000  0.000  0.000
La  0.500  0.500  0.500

DOS at the Fermi energy = 0.99 states/eV per atom

(ii)
Below is a relaxed LaPdRu3 crystal, with properties calculated at the PBE level.

Cell lengths 4.755, 4.755, 4.755 Å; angles 90.00, 90.00, 90.00 degrees
Element x y z (fractional)
Ru  0.500  0.000  0.000
Ru  0.000  0.000  0.500
Ru  0.000  0.500  0.000
La  0.000  0.000  0.000
Pd  0.500  0.500  0.500

DOS at the Fermi energy = 0.69 states/eV per atom

Which is most stable, and by how much? (i), by 742 meV per atom.